Record 1
Compound: AlCr8
Source: the Alexandria database
Functional: PBE
Structure: relaxed

abc: 5.5151 5.5151 5.5151
angles: 98.20 98.20 135.63
Fractional positions:
Al: 0.0000 0.0000 0.0000
Cr: 0.6637 0.3363 0.0000
Cr: 0.3363 0.6637 0.0000
Cr: 0.0000 0.6608 0.6608
Cr: 0.3363 0.3363 0.6726
Cr: 0.6608 0.0000 0.6608
Cr: 0.6637 0.6637 0.3274
Cr: 0.0000 0.3392 0.3392
Cr: 0.3392 0.0000 0.3392

Output
The total energy is -8.78 eV per atom. The total magnetization is 0.0 μB/f.u. The formation energy comes out at 0.191 eV/atom.

=====

Record 2
Compound: Li2Ca3Ga2
Source: the Alexandria database
Functional: PBE
Structure: relaxed

abc: 3.9762 4.6594 10.3138
angles: 103.05 101.11 90.00
Fractional positions:
Li: 0.5706 0.5706 0.1412
Li: 0.4294 0.4294 0.8588
Ca: 0.0000 0.0000 0.0000
Ca: 0.1936 0.6936 0.3872
Ca: 0.8064 0.3064 0.6128
Ga: 0.6375 0.1375 0.2750
Ga: 0.3625 0.8625 0.7250

Output
The total energy is -2.51 eV per atom. The total magnetization is 0.0 μB/f.u. The formation energy comes out at -0.239 eV/atom.

=====

Record 3
Compound: KH2F3
Source: the Alexandria database
Functional: PBE
Structure: relaxed

abc: 3.7253 5.6561 8.1354
angles: 106.65 103.24 90.00
Fractional positions:
K: 0.3747 0.9680 0.7495
K: 0.6253 0.0320 0.2505
H: 0.3038 0.3518 0.6077
H: 0.6962 0.6482 0.3923
H: 0.9378 0.6009 0.8757
H: 0.0622 0.3991 0.1243
F: 0.2338 0.2176 0.4676
F: 0.9823 0.7581 0.9646
F: 0.3775 0.4632 0.7551
F: 0.7662 0.7824 0.5324
F: 0.6225 0.5368 0.2449
F: 0.0177 0.2419 0.0354

Output
The total energy is -4.24 eV per atom. The total magnetization is 0.1 μB/f.u.

=====

Record 4
Compound: KCaBi2
Source: the Alexandria database
Functional: PBE
Structure: relaxed

abc: 4.8607 5.1992 5.1992
angles: 90.00 90.00 90.00
Fractional positions:
K: 0.5000 0.5000 0.5000
Ca: 0.5000 0.0000 0.0000
Bi: 0.0000 0.0000 0.5000
Bi: 0.0000 0.5000 0.0000

Output
The total energy is -3.19 eV per atom. The total magnetization is 0.0 μB/f.u. The formation energy comes out at -0.474 eV/atom.

=====

Record 5
Compound: AlCdP
Source: the Alexandria database
Functional: PBE
Structure: relaxed

abc: 4.6606 4.6606 2.9634
angles: 90.00 90.00 120.00
Fractional positions:
P: 0.6667 0.3333 0.8340
Al: 0.0000 0.0000 0.8336
Cd: 0.3333 0.6667 0.3324

Output
The total energy is -3.07 eV per atom. The total magnetization is 0.0 μB/f.u. The formation energy comes out at 0.286 eV/atom.

=====

Record 6
Compound: Tl2AsAu2
Source: the Alexandria database
Functional: PBE
Structure: relaxed

abc: 4.7628 6.3253 9.5693
angles: 79.23 75.59 67.88
Fractional positions:
Tl: 0.0147 0.6786 0.2919
Tl: 0.2062 0.6786 0.9089
Tl: 0.9853 0.3214 0.7081
Tl: 0.7938 0.3214 0.0911
As: 0.7629 0.8741 0.6001
As: 0.2371 0.1259 0.3999
Au: 0.3581 0.7088 0.5749
Au: 0.5788 0.9848 0.8576
Au: 0.6419 0.2912 0.4251
Au: 0.4212 0.0152 0.1424

Output
The total energy is -3.19 eV per atom. The total magnetization is 0.0 μB/f.u. The formation energy comes out at -0.003 eV/atom.